# 1
## As2W (PBE-GGA)

Data for crystalline As2W at its relaxed geometry.

Computed properties:
Crystal system: trigonal
Density, g/cm3: 10.2
N(E_F), states/eV per cell: 1.9
Magnetic moment, μB/atom: 0.000
ΔE_f, eV per atom: 0.056
Space group: P-3m1, No. 164

abc: 3.2671 3.2671 5.8566
angles: 90.00 90.00 120.00
Sites, in units of the cell vectors:
As 0.3333 0.6667 0.2993
As 0.6667 0.3333 0.7007
W 0.0000 0.0000 0.0000

---

# 2
## YAsW2 (PBE-GGA)

Data for crystalline YAsW2 at its relaxed geometry.

Computed properties:
Crystal system: monoclinic
Density, g/cm3: 11.6
N(E_F), states/eV per cell: 3.9
Magnetic moment, μB/atom: 0.000
ΔE_f, eV per atom: 0.321
Space group: C2/m, No. 12

abc: 3.8658 3.8658 5.7795
angles: 109.37 109.37 90.05
Sites, in units of the cell vectors:
Y 0.0000 0.0000 0.0000
As 0.5000 0.5000 0.0000
W 0.2505 0.7495 0.5000
W 0.7495 0.2505 0.5000

---

# 3
## YAsW2 (PBE-GGA)

Data for crystalline YAsW2 at its relaxed geometry.

Computed properties:
Crystal system: orthorhombic
Density, g/cm3: 11.9
N(E_F), states/eV per cell: 2.6
Magnetic moment, μB/atom: 0.000
ΔE_f, eV per atom: 0.533
Space group: Cmmm, No. 65

abc: 2.9827 2.9827 8.8473
angles: 90.00 90.00 109.44
Sites, in units of the cell vectors:
Y 0.0000 0.0000 0.0000
As 0.0000 0.0000 0.5000
W 0.5000 0.5000 0.2839
W 0.5000 0.5000 0.7161

---

# 4
## YAsW (PBE-GGA)

Data for crystalline YAsW at its relaxed geometry.

Computed properties:
Crystal system: trigonal
Density, g/cm3: 9.1
N(E_F), states/eV per cell: 2.6
Magnetic moment, μB/atom: 0.000
ΔE_f, eV per atom: -0.013
Space group: P3m1, No. 156

abc: 3.4945 3.4945 6.0060
angles: 90.00 90.00 120.00
Sites, in units of the cell vectors:
Y 0.0000 0.0000 0.0000
As 0.6667 0.3333 0.3498
W 0.3333 0.6667 0.6067

---

# 5
## YAsW2 (PBE-GGA)

Data for crystalline YAsW2 at its relaxed geometry.

Computed properties:
Crystal system: monoclinic
Density, g/cm3: 11.3
N(E_F), states/eV per cell: 2.0
Magnetic moment, μB/atom: 0.000
ΔE_f, eV per atom: 0.061
Space group: Pm, No. 6

abc: 3.2989 4.3016 5.6479
angles: 90.00 102.37 90.00
Sites, in units of the cell vectors:
Y 0.0000 0.0000 0.0000
As 0.5617 0.5000 0.1890
W 0.1931 0.5000 0.5544
W 0.6484 0.0000 0.4920

---

# 6
## YAsW2 (PBE-GGA)

Data for crystalline YAsW2 at its relaxed geometry.

Computed properties:
Crystal system: orthorhombic
Density, g/cm3: 11.6
N(E_F), states/eV per cell: 1.9
Magnetic moment, μB/atom: 0.000
ΔE_f, eV per atom: 0.320
Space group: Imm2, No. 44

abc: 5.3627 5.3627 5.3627
angles: 141.64 126.19 68.00
Sites, in units of the cell vectors:
Y 0.0000 0.0000 0.0000
As 0.2704 0.7704 0.5000
W 0.5069 0.5069 0.0000
W 0.7238 0.2238 0.5000

---

# 7
## Y2As2W (PBE-GGA)

Data for crystalline Y2As2W at its relaxed geometry.

Computed properties:
Crystal system: tetragonal
Density, g/cm3: 8.3
N(E_F), states/eV per cell: 1.5
Magnetic moment, μB/atom: 0.000
ΔE_f, eV per atom: -0.672
Space group: P4/mbm, No. 127

abc: 6.9958 6.9958 4.1684
angles: 90.00 90.00 90.00
Sites, in units of the cell vectors:
Y 0.1693 0.3307 0.0000
Y 0.3307 0.8307 0.0000
Y 0.6693 0.1693 0.0000
Y 0.8307 0.6693 0.0000
As 0.1434 0.6434 0.5000
As 0.3566 0.1434 0.5000
As 0.6434 0.8566 0.5000
As 0.8566 0.3566 0.5000
W 0.0000 0.0000 0.5000
W 0.5000 0.5000 0.5000

---

# 8
## YAsW2 (PBE-GGA)

Data for crystalline YAsW2 at its relaxed geometry.

Computed properties:
Crystal system: trigonal
Density, g/cm3: 11.6
N(E_F), states/eV per cell: 3.5
Magnetic moment, μB/atom: 0.000
ΔE_f, eV per atom: 0.568
Space group: R-3m, No. 166

abc: 8.9060 8.9060 8.9060
angles: 20.56 20.56 20.56
Sites, in units of the cell vectors:
Y 0.0000 0.0000 0.0000
As 0.5000 0.5000 0.5000
W 0.2372 0.2372 0.2372
W 0.7628 0.7628 0.7628

---

# 9
## YAs3W (PBE-GGA)

Data for crystalline YAs3W at its relaxed geometry.

Computed properties:
Crystal system: cubic
Density, g/cm3: 7.0
N(E_F), states/eV per cell: 4.1
Magnetic moment, μB/atom: 0.000
ΔE_f, eV per atom: 0.066
Space group: Pm-3m, No. 221

abc: 4.9117 4.9117 4.9117
angles: 90.00 90.00 90.00
Sites, in units of the cell vectors:
Y 0.0000 0.0000 0.0000
As 0.0000 0.5000 0.5000
As 0.5000 0.0000 0.5000
As 0.5000 0.5000 0.0000
W 0.5000 0.5000 0.5000

---

# 10
## YAs2W2 (PBE-GGA)

Data for crystalline YAs2W2 at its relaxed geometry.

Computed properties:
Crystal system: tetragonal
Density, g/cm3: 10.0
N(E_F), states/eV per cell: 3.3
Magnetic moment, μB/atom: 0.000
ΔE_f, eV per atom: -0.116
Space group: I4/mmm, No. 139

abc: 5.5819 5.5819 5.5819
angles: 129.72 129.72 73.85
Sites, in units of the cell vectors:
Y 0.0000 0.0000 0.0000
As 0.2500 0.7500 0.5000
As 0.7500 0.2500 0.5000
W 0.3695 0.3695 0.0000
W 0.6305 0.6305 0.0000

---

# 11
## YAsW (PBE-GGA)

Data for crystalline YAsW at its relaxed geometry.

Computed properties:
Crystal system: cubic
Density, g/cm3: 7.6
N(E_F), states/eV per cell: 3.1
Magnetic moment, μB/atom: 0.907
ΔE_f, eV per atom: 1.182
Space group: F-43m, No. 216

abc: 4.7522 4.7522 4.7522
angles: 60.00 60.00 60.00
Sites, in units of the cell vectors:
Y 0.0000 0.0000 0.0000
As 0.2500 0.2500 0.2500
W 0.7500 0.7500 0.7500

---

# 12
## YAsW3 (PBE-GGA)

Data for crystalline YAsW3 at its relaxed geometry.

Computed properties:
Crystal system: cubic
Density, g/cm3: 10.3
N(E_F), states/eV per cell: 3.6
Magnetic moment, μB/atom: 0.000
ΔE_f, eV per atom: 3.119
Space group: Pm-3m, No. 221

abc: 4.8616 4.8616 4.8616
angles: 90.00 90.00 90.00
Sites, in units of the cell vectors:
Y 0.0000 0.0000 0.0000
As 0.5000 0.5000 0.5000
W 0.0000 0.0000 0.5000
W 0.0000 0.5000 0.0000
W 0.5000 0.0000 0.0000

---

# 13
## YAsW2 (PBE-GGA)

Data for crystalline YAsW2 at its relaxed geometry.

Computed properties:
Crystal system: tetragonal
Density, g/cm3: 12.1
N(E_F), states/eV per cell: 2.0
Magnetic moment, μB/atom: 0.000
ΔE_f, eV per atom: 0.374
Space group: I-4m2, No. 119

abc: 4.8650 4.8650 4.8650
angles: 125.85 125.85 80.13
Sites, in units of the cell vectors:
Y 0.0000 0.0000 0.0000
As 0.2500 0.7500 0.5000
W 0.5000 0.5000 0.0000
W 0.7500 0.2500 0.5000

---

# 14
## YAsW2 (PBE-GGA)

Data for crystalline YAsW2 at its relaxed geometry.

Computed properties:
Crystal system: tetragonal
Density, g/cm3: 11.6
N(E_F), states/eV per cell: 2.4
Magnetic moment, μB/atom: 0.000
ΔE_f, eV per atom: 0.407
Space group: P4/mmm, No. 123

abc: 3.4421 3.4421 6.4127
angles: 90.00 90.00 90.00
Sites, in units of the cell vectors:
Y 0.0000 0.0000 0.0000
As 0.0000 0.0000 0.5000
W 0.5000 0.5000 0.3051
W 0.5000 0.5000 0.6949

---

# 15
## YAsW2 (PBE-GGA)

Data for crystalline YAsW2 at its relaxed geometry.

Computed properties:
Crystal system: monoclinic
Density, g/cm3: 10.7
N(E_F), states/eV per cell: 1.9
Magnetic moment, μB/atom: 0.000
ΔE_f, eV per atom: 0.158
Space group: Cm, No. 8

abc: 4.5447 4.5447 5.9721
angles: 100.89 100.89 42.93
Sites, in units of the cell vectors:
Y 0.0000 0.0000 0.0000
As 0.2373 0.2373 0.6987
W 0.4953 0.4953 0.4999
W 0.7617 0.7617 0.3507

---

# 16
## YAsW2 (PBE-GGA)

Data for crystalline YAsW2 at its relaxed geometry.

Computed properties:
Crystal system: tetragonal
Density, g/cm3: 11.0
N(E_F), states/eV per cell: 6.8
Magnetic moment, μB/atom: 0.000
ΔE_f, eV per atom: 0.465
Space group: I-42d, No. 122

abc: 10.5816 10.5816 10.5816
angles: 158.41 158.41 30.72
Sites, in units of the cell vectors:
Y 0.0000 0.0000 0.0000
Y 0.7500 0.2500 0.5000
As 0.2500 0.7500 0.5000
As 0.5000 0.5000 0.0000
W 0.1648 0.6250 0.0398
W 0.3750 0.4148 0.5398
W 0.5852 0.1250 0.9602
W 0.8750 0.8352 0.4602

---

# 17
## YAsW3 (PBE-GGA)

Data for crystalline YAsW3 at its relaxed geometry.

Computed properties:
Crystal system: cubic
Density, g/cm3: 11.5
N(E_F), states/eV per cell: 6.0
Magnetic moment, μB/atom: 0.000
ΔE_f, eV per atom: 1.047
Space group: Pm-3m, No. 221

abc: 4.6984 4.6984 4.6984
angles: 90.00 90.00 90.00
Sites, in units of the cell vectors:
Y 0.0000 0.0000 0.0000
As 0.5000 0.5000 0.5000
W 0.0000 0.5000 0.5000
W 0.5000 0.0000 0.5000
W 0.5000 0.5000 0.0000

---

# 18
## YAsW2 (PBE-GGA)

Data for crystalline YAsW2 at its relaxed geometry.

Computed properties:
Crystal system: orthorhombic
Density, g/cm3: 11.8
N(E_F), states/eV per cell: 3.3
Magnetic moment, μB/atom: 0.000
ΔE_f, eV per atom: 0.242
Space group: Cmm2, No. 35

abc: 3.0086 3.0086 8.8451
angles: 90.00 90.00 110.71
Sites, in units of the cell vectors:
Y 0.0000 0.0000 0.0000
As 0.5000 0.5000 0.7348
W 0.0000 0.0000 0.5075
W 0.5000 0.5000 0.2814

---

# 19
## YAsW2 (PBE-GGA)

Data for crystalline YAsW2 at its relaxed geometry.

Computed properties:
Crystal system: trigonal
Density, g/cm3: 11.2
N(E_F), states/eV per cell: 2.4
Magnetic moment, μB/atom: 0.000
ΔE_f, eV per atom: 0.229
Space group: R3m, No. 160

abc: 8.6483 8.6483 8.6483
angles: 21.93 21.93 21.93
Sites, in units of the cell vectors:
Y 0.0000 0.0000 0.0000
As 0.7610 0.7610 0.7610
W 0.2383 0.2383 0.2383
W 0.4990 0.4990 0.4990

---

# 20
## YAsW2 (PBE-GGA)

Data for crystalline YAsW2 at its relaxed geometry.

Computed properties:
Crystal system: monoclinic
Density, g/cm3: 11.6
N(E_F), states/eV per cell: 3.4
Magnetic moment, μB/atom: 0.000
ΔE_f, eV per atom: 0.403
Space group: C2/m, No. 12

abc: 5.9415 5.9415 3.0836
angles: 104.77 104.77 123.95
Sites, in units of the cell vectors:
Y 0.0000 0.0000 0.0000
As 0.5000 0.5000 0.0000
W 0.0000 0.5000 0.5000
W 0.5000 0.0000 0.5000